1.
First-principles (PBE) data for crystalline Pd5PtPb at its relaxed geometry, as listed in the Alexandria database.

Values from the calculation:
V: 17.89 Å³/atom
ΔE_f: 3.69 kJ per mole of atoms
distance to the lowest polymorph of the same formula: 0.0000 eV per atom

a b c (Å): 4.115 4.115 7.395
angles (deg): 90.00 90.00 90.00
Fractional positions:
Pd1 0.000 0.000 0.000
Pd2 0.000 0.500 0.274
Pd3 0.000 0.500 0.726
Pd4 0.500 0.000 0.274
Pd5 0.500 0.000 0.726
Pt1 0.500 0.500 0.500
Pb1 0.500 0.500 0.000

2.
First-principles (PBE) data for crystalline RbGaSn at its relaxed geometry, as listed in the Alexandria database.

Values from the calculation:
V: 37.47 Å³/atom
ΔE_f: -6.64 kJ per mole of atoms

a b c (Å): 6.383 4.661 7.974
angles (deg): 90.00 108.64 90.00
Fractional positions:
Rb1 0.000 0.000 0.000
Rb2 0.373 0.000 0.692
Ga1 0.354 0.500 0.298
Ga2 0.594 0.500 0.071
Sn1 0.634 0.000 0.331
Sn2 0.964 0.500 0.403

3.
First-principles (PBE) data for crystalline Tl7Ag36Te22 at its relaxed geometry, as listed in the Alexandria database.

Values from the calculation:
V: 25.88 Å³/atom
E_form (uncorrected): -0.112 eV/atom

a b c (Å): 13.349 13.349 13.349
angles (deg): 60.00 60.00 60.00
Fractional positions:
Tl1 0.000 0.000 0.000
Tl2 0.237 0.237 0.763
Tl3 0.237 0.763 0.237
Tl4 0.237 0.763 0.763
Tl5 0.763 0.237 0.237
Tl6 0.763 0.237 0.763
Tl7 0.763 0.763 0.237
Ag1 0.000 0.000 0.387
Ag2 0.000 0.000 0.613
Ag3 0.000 0.387 0.000
Ag4 0.000 0.387 0.613
Ag5 0.000 0.613 0.000
Ag6 0.000 0.613 0.387
Ag7 0.006 0.258 0.258
Ag8 0.006 0.258 0.479
Ag9 0.006 0.479 0.258
Ag10 0.258 0.006 0.258
Ag11 0.258 0.006 0.479
Ag12 0.258 0.258 0.006
Ag13 0.258 0.258 0.479
Ag14 0.258 0.479 0.006
Ag15 0.258 0.479 0.258
Ag16 0.387 0.000 0.000
Ag17 0.387 0.000 0.613
Ag18 0.387 0.613 0.000
Ag19 0.479 0.006 0.258
Ag20 0.479 0.258 0.006
Ag21 0.479 0.258 0.258
Ag22 0.521 0.742 0.742
Ag23 0.521 0.742 0.994
Ag24 0.521 0.994 0.742
Ag25 0.613 0.000 0.000
Ag26 0.613 0.000 0.387
Ag27 0.613 0.387 0.000
Ag28 0.742 0.521 0.742
Ag29 0.742 0.521 0.994
Ag30 0.742 0.742 0.521
Ag31 0.742 0.742 0.994
Ag32 0.742 0.994 0.521
Ag33 0.742 0.994 0.742
Ag34 0.994 0.521 0.742
Ag35 0.994 0.742 0.521
Ag36 0.994 0.742 0.742
Te1 0.109 0.109 0.109
Te2 0.109 0.109 0.673
Te3 0.109 0.673 0.109
Te4 0.186 0.500 0.500
Te5 0.186 0.500 0.814
Te6 0.186 0.814 0.500
Te7 0.250 0.250 0.250
Te8 0.327 0.891 0.891
Te9 0.500 0.186 0.500
Te10 0.500 0.186 0.814
Te11 0.500 0.500 0.186
Te12 0.500 0.500 0.814
Te13 0.500 0.814 0.186
Te14 0.500 0.814 0.500
Te15 0.673 0.109 0.109
Te16 0.750 0.750 0.750
Te17 0.814 0.186 0.500
Te18 0.814 0.500 0.186
Te19 0.814 0.500 0.500
Te20 0.891 0.327 0.891
Te21 0.891 0.891 0.327
Te22 0.891 0.891 0.891

4.
First-principles (PBE) data for crystalline Ho2ScPt at its relaxed geometry, as listed in the Alexandria database.

Values from the calculation:
V: 24.34 Å³/atom
ΔE_f: -56.27 kJ per mole of atoms
distance to the lowest polymorph of the same formula: 0.0000 eV per atom

a b c (Å): 3.577 3.577 7.610
angles (deg): 90.00 90.00 90.00
Fractional positions:
Ho1 0.000 0.000 0.214
Ho2 0.000 0.000 0.786
Sc1 0.500 0.500 0.500
Pt1 0.500 0.500 0.000

| no. | uncorrected energy (eV/atom) |
| --- | --- |
| 1 | -5.06 |
| 2 | -2.73 |
| 3 | -3.01 |
| 4 | -5.97 |